Record 1
This record from the Alexandria database describes a relaxed Na2SrPtCl8 crystal. The functional is GGA-PBE.

Calculated values
E_form (uncorrected) = -1.2900 eV per atom
Final energy = -3.38 eV/atom

Cell and atoms, written as POSCAR:
```
Na2SrPtCl8
1.0
6.691 0.000 0.000
-3.345 5.794 0.000
0.000 0.000 7.733
Na Sr Pt Cl
2 1 1 8
direct
0.333 0.667 0.361
0.667 0.333 0.639
0.000 0.000 0.000
0.000 0.000 0.500
0.163 0.325 0.683
0.163 0.837 0.683
0.325 0.163 0.317
0.333 0.667 0.026
0.667 0.333 0.974
0.675 0.837 0.683
0.837 0.163 0.317
0.837 0.675 0.317
```

Record 2
This record from the Alexandria database describes a relaxed NaPtW2Cl crystal. The functional is GGA-PBE.

Calculated values
E_form (uncorrected) = 1.5860 eV per atom
Final energy = -5.44 eV/atom

Cell and atoms, written as POSCAR:
```
NaPtW2Cl
1.0
4.814 0.000 0.000
0.000 4.814 0.000
0.000 0.000 7.239
Na Pt W Cl
1 1 2 1
direct
0.000 0.000 0.000
0.500 0.500 0.500
0.000 0.500 0.500
0.500 0.000 0.500
0.500 0.500 0.000
```

Record 3
This record from the Alexandria database describes a relaxed NaPu2Cl11 crystal. The functional is GGA-PBE.

Calculated values
E_form (uncorrected) = -1.4180 eV per atom
Final energy = -5.01 eV/atom

Cell and atoms, written as POSCAR:
```
NaPu2Cl11
1.0
-5.376 7.331 6.946
5.376 -7.331 6.946
5.376 7.331 -6.946
Na Pu Cl
2 4 22
direct
0.250 0.250 0.000
0.750 0.750 0.000
0.076 0.726 0.802
0.424 0.226 0.651
0.576 0.774 0.349
0.924 0.274 0.198
0.000 0.500 0.500
0.054 0.529 0.838
0.090 0.923 0.759
0.148 0.935 0.083
0.165 0.331 0.241
0.191 0.029 0.475
0.309 0.784 0.838
0.335 0.577 0.166
0.352 0.435 0.786
0.410 0.169 0.834
0.446 0.284 0.475
0.500 0.000 0.500
0.554 0.716 0.525
0.590 0.831 0.166
0.648 0.565 0.214
0.665 0.423 0.834
0.691 0.216 0.162
0.809 0.971 0.525
0.835 0.669 0.759
0.852 0.065 0.917
0.910 0.077 0.241
0.946 0.471 0.162
```

Record 4
This record from the Alexandria database describes a relaxed NaPuCl6 crystal. The functional is GGA-PBE.

Calculated values
E_form (uncorrected) = -1.4891 eV per atom
Final energy = -4.83 eV/atom

Cell and atoms, written as POSCAR:
```
NaPuCl6
1.0
3.468 -5.984 0.000
3.468 5.984 0.000
-0.063 0.000 7.213
Na Pu Cl
1 1 6
direct
0.000 0.000 0.000
0.000 0.000 0.500
0.000 0.291 0.712
0.000 0.709 0.288
0.291 0.000 0.712
0.291 0.291 0.291
0.709 0.000 0.288
0.709 0.709 0.709
```

Record 5
This record from the Alexandria database describes a relaxed Na4Pu2Cl9 crystal. The functional is GGA-PBE.

Calculated values
E_form (uncorrected) = -1.8886 eV per atom
Final energy = -5.26 eV/atom

Cell and atoms, written as POSCAR:
```
Na4Pu2Cl9
1.0
7.143 0.000 0.000
3.568 6.191 0.000
0.016 0.003 19.471
Na Pu Cl
8 4 18
direct
0.166 0.166 0.486
0.166 0.167 0.679
0.167 0.166 0.985
0.168 0.166 0.180
0.832 0.834 0.820
0.833 0.834 0.015
0.834 0.833 0.321
0.834 0.834 0.514
0.499 0.502 0.648
0.500 0.499 0.852
0.500 0.501 0.148
0.501 0.498 0.352
0.142 0.528 0.915
0.144 0.830 0.415
0.168 0.475 0.585
0.169 0.858 0.085
0.208 0.501 0.250
0.208 0.793 0.750
0.473 0.171 0.085
0.473 0.858 0.584
0.498 0.209 0.750
0.502 0.791 0.250
0.527 0.142 0.416
0.527 0.829 0.915
0.792 0.207 0.250
0.792 0.499 0.750
0.831 0.142 0.915
0.832 0.525 0.415
0.856 0.170 0.585
0.858 0.472 0.085
```

Record 6
This record from the Alexandria database describes a relaxed NaPu2Cl6 crystal. The functional is GGA-PBE.

Calculated values
E_form (uncorrected) = -1.8507 eV per atom
Final energy = -6.41 eV/atom

Cell and atoms, written as POSCAR:
```
NaPu2Cl6
1.0
3.585 2.070 6.639
-3.585 2.070 6.639
0.000 -4.140 6.639
Na Pu Cl
1 2 6
direct
0.000 0.000 0.000
0.310 0.310 0.310
0.501 0.501 0.501
0.135 0.708 0.373
0.238 0.591 0.902
0.373 0.135 0.708
0.591 0.902 0.238
0.708 0.373 0.135
0.902 0.238 0.591
```

Record 7
This record from the Alexandria database describes a relaxed Na4PuCl6 crystal. The functional is GGA-PBE.

Calculated values
E_form (uncorrected) = -1.6620 eV per atom
Final energy = -4.45 eV/atom

Cell and atoms, written as POSCAR:
```
Na4PuCl6
1.0
6.141 3.546 4.868
-6.141 3.546 4.868
0.000 -7.091 4.868
Na Pu Cl
8 2 12
direct
0.079 0.750 0.421
0.250 0.250 0.250
0.250 0.579 0.921
0.421 0.079 0.750
0.579 0.921 0.250
0.750 0.421 0.079
0.750 0.750 0.750
0.921 0.250 0.579
0.000 0.000 0.000
0.500 0.500 0.500
0.037 0.933 0.684
0.067 0.316 0.963
0.184 0.433 0.537
0.316 0.963 0.067
0.433 0.537 0.184
0.463 0.816 0.567
0.537 0.184 0.433
0.567 0.463 0.816
0.684 0.037 0.933
0.816 0.567 0.463
0.933 0.684 0.037
0.963 0.067 0.316
```

Record 8
This record from the Alexandria database describes a relaxed NaPuCl5 crystal. The functional is GGA-PBE.

Calculated values
E_form (uncorrected) = -1.6785 eV per atom
Final energy = -5.23 eV/atom

Cell and atoms, written as POSCAR:
```
NaPuCl5
1.0
4.400 -5.721 0.000
4.400 5.721 0.000
-0.384 0.000 8.119
Na Pu Cl
2 2 10
direct
0.000 0.000 0.000
0.000 0.000 0.500
0.415 0.585 0.750
0.585 0.415 0.250
0.113 0.297 0.766
0.186 0.814 0.750
0.297 0.113 0.266
0.325 0.572 0.430
0.428 0.675 0.070
0.572 0.325 0.930
0.675 0.428 0.570
0.703 0.887 0.734
0.814 0.186 0.250
0.887 0.703 0.234
```